Computed, not measured: an optimized crystal structure of InNiTe2AuSe at the PBE-GGA level of DFT.

Lattice parameters (Å, degrees): 6.6557 6.6557 11.4659 90.00 90.00 145.80
Closest atoms and distances in Å follow each position.
Fractional coordinates of all 12 atoms:
In  0.1826  0.8174  0.7500  2 Se 2.80, 2 Au 2.85, 2 Te 3.13
In  0.8174  0.1826  0.2500  2 Se 2.80, 2 Au 2.85, 2 Te 3.13
Ni  0.5000  0.5000  0.0000  4 Te 2.55
Ni  0.5000  0.5000  0.5000  4 Te 2.55
Te  0.1276  0.8724  0.0160  2 Ni 2.55, 1 Au 2.70
Te  0.1276  0.8724  0.4840  2 Ni 2.55, 1 Au 2.70
Te  0.8724  0.1276  0.5160  2 Ni 2.55, 1 Au 2.70
Te  0.8724  0.1276  0.9840  2 Ni 2.55, 1 Au 2.70
Au  0.1547  0.8453  0.2500  2 Te 2.70, 2 In 2.85, 2 Se 3.01
Au  0.8453  0.1547  0.7500  2 Te 2.70, 2 In 2.85, 2 Se 3.01
Se  0.4749  0.5251  0.2500  2 In 2.80, 2 Ni 2.88, 2 Au 3.01
Se  0.5251  0.4749  0.7500  2 In 2.80, 2 Ni 2.88, 2 Au 3.01

**VASP energy**: -44.7 eV for the cell shown
**Calculated density**: 8.20 g/cm3
**Total moment**: 0.00 μB/cell



Computed, not measured: an optimized crystal structure of InNiTeAuSe2 at the PBE-GGA level of DFT.

Lattice parameters (Å, degrees): 7.3582 7.3582 10.7124 90.00 90.00 152.03
Closest atoms and distances in Å follow each position.
Fractional coordinates of all 12 atoms:
In  0.1941  0.8059  0.7500  2 Au 2.78, 2 Se 3.00
In  0.8059  0.1941  0.2500  2 Au 2.78, 2 Se 3.00
Ni  0.5000  0.5000  0.0000  4 Se 2.41, 2 Te 2.69
Ni  0.5000  0.5000  0.5000  4 Se 2.41, 2 Te 2.69
Te  0.4862  0.5138  0.2500  2 Ni 2.69, 2 Au 3.01
Te  0.5138  0.4862  0.7500  2 Ni 2.69, 2 Au 3.01
Au  0.1560  0.8440  0.2500  2 Se 2.65, 2 In 2.78
Au  0.8440  0.1560  0.7500  2 Se 2.65, 2 In 2.78
Se  0.1142  0.8858  0.0089  2 Ni 2.41, 1 Au 2.65
Se  0.1142  0.8858  0.4911  2 Ni 2.41, 1 Au 2.65
Se  0.8858  0.1142  0.5089  2 Ni 2.41, 1 Au 2.65
Se  0.8858  0.1142  0.9911  2 Ni 2.41, 1 Au 2.65

**VASP energy**: -45.7 eV for the cell shown
**Calculated density**: 8.01 g/cm3
**Total moment**: 0.01 μB/cell



Computed, not measured: an optimized crystal structure of Sr2In4NiAu at the PBE-GGA level of DFT.

Lattice parameters (Å, degrees): 7.9505 6.0557 6.0557 43.79 90.00 90.00
Closest atoms and distances in Å follow each position.
Fractional coordinates of all 8 atoms:
Sr  0.0000  0.0000  0.0000  3 Au 3.18-3.32, 4 In 3.51
Sr  0.5000  0.1200  0.1200  3 Ni 3.11-3.37, 4 In 3.40
In  0.2106  0.7148  0.7148  1 Ni 2.71, 2 Au 2.91
In  0.3144  0.4115  0.4115  2 Ni 2.81, 1 Au 2.89, 1 In 2.95
In  0.6856  0.4115  0.4115  2 Ni 2.81, 1 Au 2.89, 1 In 2.95
In  0.7894  0.7148  0.7148  1 Ni 2.71, 2 Au 2.91
Ni  0.5000  0.8428  0.8428  6 In 2.71-2.81
Au  0.0000  0.2832  0.2832  6 In 2.89-2.91, 1 Sr 3.18

**VASP energy**: -26.6 eV for the cell shown
**Calculated density**: 7.33 g/cm3
**Total moment**: 0.00 μB/cell



Computed, not measured: an optimized crystal structure of TaInNiAu at the PBE-GGA level of DFT.

Lattice parameters (Å, degrees): 4.5769 4.5769 4.5769 60.00 60.00 60.00
Closest atoms and distances in Å follow each position.
Fractional coordinates of all 4 atoms:
Ta  0.0000  0.0000  0.0000  4 Au 2.80, 4 In 2.80
In  0.2500  0.2500  0.2500  4 Ta 2.80, 4 Ni 2.80
Ni  0.5000  0.5000  0.5000  4 In 2.80, 4 Au 2.80
Au  0.7500  0.7500  0.7500  4 Ta 2.80, 4 Ni 2.80

**VASP energy**: -22.7 eV for the cell shown
**Calculated density**: 13.51 g/cm3
**Total moment**: 0.00 μB/cell